No. 1
A plane-wave DFT calculation with PBE-GGA was carried out for a relaxed structure of Tb2Nd5Dy3.

Unit cell a=10.766 b=14.898 c=10.064 alpha=90.00 beta=122.33 gamma=90.00
Space group C2/c (No. 15)
Symmetry-distinct sites (fractional):
Tb1 0.153 0.128 0.058 [8 per cell]
Nd1 0.000 0.019 0.250 [4 per cell]
Nd2 0.000 0.228 0.250 [4 per cell]
Nd3 0.000 0.478 0.750 [4 per cell]
Nd4 0.247 0.371 0.244 [8 per cell]
Dy1 0.000 0.272 0.750 [4 per cell]
Dy2 0.154 0.375 0.557 [8 per cell]

Calculated values
Relative energy among the computed polymorphs   0 meV per atom
Energy relative to the elements   1.8 eV per formula unit
DOS(E_F)   71.28 states/eV/cell

No. 2
A plane-wave DFT calculation with PBE-GGA was carried out for a relaxed structure of Cs4TbPm3Te8.

Unit cell a=9.2612 b=9.2612 c=26.8208 alpha=90.00 beta=90.00 gamma=120.00
Space group R-3m (No. 166, hexagonal axes)
Symmetry-distinct sites (fractional):
Cs1 0.0000 0.0000 0.0000 [3 per cell]
Cs2 0.0000 0.5000 0.0000 [9 per cell]
Tb1 0.0000 0.0000 0.5000 [3 per cell]
Pm1 0.0000 0.5000 0.5000 [9 per cell]
Te1 0.0000 0.0000 0.2315 [6 per cell]
Te2 0.0045 0.5022 0.2308 [18 per cell]

Calculated values
Formation energy from raw total energies   -22.5 eV/f.u.

No. 3
A plane-wave DFT calculation with PBE-GGA was carried out for a relaxed structure of LiLaDySn.

Unit cell a=7.587 b=7.587 c=7.587 alpha=90.00 beta=90.00 gamma=90.00
Space group F-43m (No. 216)
Symmetry-distinct sites (fractional):
Li1 0.000 0.000 0.000 [4 per cell]
La1 0.250 0.250 0.750 [4 per cell]
Dy1 0.250 0.250 0.250 [4 per cell]
Sn1 0.000 0.000 0.500 [4 per cell]

Calculated values
Energy relative to the elements   -1.7 eV per formula unit
DOS(E_F)   11.04 states/eV/cell

Please write out number 1 again, unchanged.
A plane-wave DFT calculation with PBE-GGA was carried out for a relaxed structure of Tb2Nd5Dy3.

Unit cell a=10.766 b=14.898 c=10.064 alpha=90.00 beta=122.33 gamma=90.00
Space group C2/c (No. 15)
Symmetry-distinct sites (fractional):
Tb1 0.153 0.128 0.058 [8 per cell]
Nd1 0.000 0.019 0.250 [4 per cell]
Nd2 0.000 0.228 0.250 [4 per cell]
Nd3 0.000 0.478 0.750 [4 per cell]
Nd4 0.247 0.371 0.244 [8 per cell]
Dy1 0.000 0.272 0.750 [4 per cell]
Dy2 0.154 0.375 0.557 [8 per cell]

Calculated values
Relative energy among the computed polymorphs   0 meV per atom
Energy relative to the elements   1.8 eV per formula unit
DOS(E_F)   71.28 states/eV/cell

Number 1 is which compound?
Tb2Nd5Dy3